Material: Bi5Pd12Se2
Method: DFT, GGA-PBE
State: relaxed

Cell lengths 9.551, 9.551, 7.519 Å; angles 110.59, 110.59, 35.97 degrees
Positions (direct):
1 Bi 0.000 0.000 0.000
2 Bi 0.254 0.254 0.641
3 Bi 0.295 0.295 0.171
4 Bi 0.705 0.705 0.829
5 Bi 0.746 0.746 0.359
6 Pd 0.102 0.102 0.730
7 Pd 0.106 0.610 0.938
8 Pd 0.131 0.621 0.578
9 Pd 0.379 0.869 0.422
10 Pd 0.390 0.894 0.062
11 Pd 0.492 0.492 0.177
12 Pd 0.508 0.508 0.823
13 Pd 0.610 0.106 0.938
14 Pd 0.621 0.131 0.578
15 Pd 0.869 0.379 0.422
16 Pd 0.894 0.390 0.062
17 Pd 0.898 0.898 0.270
18 Se 0.264 0.736 0.500
19 Se 0.736 0.264 0.500

=====

Material: Bi2Pd5Se2
Method: DFT, GGA-PBE
State: relaxed

Cell lengths 7.565, 7.565, 7.607 Å; angles 108.29, 108.29, 30.48 degrees
Positions (direct):
1 Bi 0.135 0.135 0.222
2 Bi 0.865 0.865 0.778
3 Pd 0.080 0.080 0.833
4 Pd 0.443 0.443 0.615
5 Pd 0.500 0.500 0.000
6 Pd 0.557 0.557 0.385
7 Pd 0.920 0.920 0.167
8 Se 0.353 0.353 0.279
9 Se 0.647 0.647 0.721

=====

Material: BiPdSe4
Method: DFT, GGA-PBE
State: relaxed

Cell lengths 6.910, 6.531, 6.664 Å; angles 90.00, 91.80, 90.00 degrees
Positions (direct):
1 Bi 0.000 0.000 0.000
2 Bi 0.000 0.500 0.500
3 Pd 0.500 0.000 0.500
4 Pd 0.500 0.500 0.000
5 Se 0.144 0.077 0.587
6 Se 0.144 0.423 0.087
7 Se 0.425 0.619 0.615
8 Se 0.425 0.881 0.115
9 Se 0.575 0.119 0.885
10 Se 0.575 0.381 0.385
11 Se 0.856 0.577 0.913
12 Se 0.856 0.923 0.413

=====

Material: BiPd5Se2
Method: DFT, GGA-PBE
State: relaxed

Cell lengths 9.631, 9.631, 9.631 Å; angles 154.62, 154.62, 36.19 degrees
Positions (direct):
1 Bi 0.000 0.000 0.000
2 Pd 0.110 0.610 0.500
3 Pd 0.390 0.890 0.500
4 Pd 0.500 0.500 0.000
5 Pd 0.610 0.110 0.500
6 Pd 0.890 0.390 0.500
7 Se 0.319 0.319 0.000
8 Se 0.681 0.681 0.000

=====

Calculated calculated volume in order - 374.3, 208.9, 300.6, 163.9 Å³ per cell
Calculated E in order - -91.64, -42.98, -48.29, -38.99 eV for the cell shown